First-principles (PBEsol) data for a relaxed Mg2SnHg2 crystal, as listed in Alexandria via LeMat-Bulk.

```
10
Lattice="8.0774 0.0000 0.0000 0.0000 8.0774 0.0000 0.0000 0.0000 3.3638" Properties=species:S:1:pos:R:3 pbc="T T T"
Mg 1.3456 2.6931 0.0000
Mg 2.6931 6.7318 0.0000
Mg 5.3843 1.3456 0.0000
Mg 6.7318 5.3843 0.0000
Sn 0.0000 0.0000 1.6819
Sn 4.0387 4.0387 1.6819
Hg 1.0680 5.1067 1.6819
Hg 2.9707 1.0680 1.6819
Hg 5.1067 7.0094 1.6819
Hg 7.0094 2.9707 1.6819
```

## Properties
Total moment, μB/cell: 0.0
Energy of formation from the pure elements, eV per atom: -0.202
VASP energy, eV per cell: -19.7